# 1
A relaxed structure of YZr. Source: Alexandria, functional PBE.

Calculated values
The total energy is -14.79 eV for the cell shown. The value obtained for the volume is 54 Å³/f.u. Its space-group type is P-6m2 (187).

abc: 3.416 3.416 5.378
angles: 90.00 90.00 120.00
Element x y z (fractional)
1 Y 0.000 0.000 0.000
2 Zr 0.333 0.667 0.500

---

# 2
A relaxed structure of YZr. Source: Alexandria, functional PBE.

Calculated values
The total energy is -27.02 eV for the cell shown. The value obtained for the volume is 64 Å³/f.u. Its space-group type is P6_3/mmc (194).

abc: 5.372 5.372 5.127
angles: 90.00 90.00 120.00
Element x y z (fractional)
1 Y 0.333 0.667 0.250
2 Y 0.667 0.333 0.750
3 Zr 0.000 0.000 0.000
4 Zr 0.000 0.000 0.500

---

# 3
A relaxed structure of Y4Zr. Source: Alexandria, functional PBE.

Calculated values
The total energy is -31.67 eV for the cell shown. The value obtained for the volume is 171 Å³/f.u. Its space-group type is Pm-3m (221).

abc: 5.549 5.549 5.549
angles: 90.00 90.00 90.00
Element x y z (fractional)
1 Y 0.000 0.000 0.000
2 Y 0.000 0.500 0.500
3 Y 0.500 0.000 0.500
4 Y 0.500 0.500 0.000
5 Zr 0.500 0.500 0.500

---

# 4
A relaxed structure of YZr. Source: Alexandria, functional PBE.

Calculated values
The total energy is -48.70 eV for the cell shown. The value obtained for the volume is 99 Å³/f.u. Its space-group type is I-43m (217).

abc: 8.011 8.011 8.011
angles: 109.47 109.47 109.47
Element x y z (fractional)
1 Y 0.000 0.000 0.588
2 Y 0.000 0.588 0.000
3 Y 0.412 0.412 0.412
4 Y 0.588 0.000 0.000
5 Zr 0.000 0.000 0.215
6 Zr 0.000 0.215 0.000
7 Zr 0.215 0.000 0.000
8 Zr 0.785 0.785 0.785

---

# 5
A relaxed structure of YZr2. Source: Alexandria, functional PBE.

Calculated values
The total energy is -20.78 eV for the cell shown. The value obtained for the volume is 90 Å³/f.u. Its space-group type is P4/mmm (123).

abc: 5.298 5.298 3.207
angles: 90.00 90.00 90.00
Element x y z (fractional)
1 Y 0.000 0.000 0.000
2 Zr 0.000 0.500 0.500
3 Zr 0.500 0.000 0.500

---

# 6
A relaxed structure of YZr. Source: Alexandria, functional PBE.

Calculated values
The total energy is -29.51 eV for the cell shown. The value obtained for the volume is 54 Å³/f.u. Its space-group type is P6_3/mmc (194).

abc: 3.384 3.384 10.896
angles: 90.00 90.00 120.00
Element x y z (fractional)
1 Y 0.000 0.000 0.000
2 Y 0.000 0.000 0.500
3 Zr 0.333 0.667 0.250
4 Zr 0.667 0.333 0.750

---

# 7
A relaxed structure of YZr. Source: Alexandria, functional PBE.

Calculated values
The total energy is -29.83 eV for the cell shown. The value obtained for the volume is 55 Å³/f.u. Its space-group type is P2_1/m (11).

abc: 3.396 5.215 6.464
angles: 90.00 105.17 90.00
Element x y z (fractional)
1 Y 0.173 0.250 0.346
2 Y 0.827 0.750 0.654
3 Zr 0.448 0.250 0.894
4 Zr 0.552 0.750 0.106

---

# 8
A relaxed structure of YZr. Source: Alexandria, functional PBE.

Calculated values
The total energy is -29.68 eV for the cell shown. The value obtained for the volume is 56 Å³/f.u. Its space-group type is P4/nmm (129).

abc: 3.835 3.835 7.613
angles: 90.00 90.00 90.00
Element x y z (fractional)
1 Y 0.250 0.250 0.162
2 Y 0.750 0.750 0.838
3 Zr 0.250 0.250 0.585
4 Zr 0.750 0.750 0.415

---

# 9
A relaxed structure of YZr2. Source: Alexandria, functional PBE.

Calculated values
The total energy is -22.82 eV for the cell shown. The value obtained for the volume is 80 Å³/f.u. Its space-group type is Immm (71).

abc: 5.825 5.825 5.825
angles: 148.69 128.16 61.82
Element x y z (fractional)
1 Y 0.000 0.000 0.000
2 Zr 0.302 0.802 0.500
3 Zr 0.698 0.198 0.500

---

# 10
A relaxed structure of Y4Zr. Source: Alexandria, functional PBE.

Calculated values
The total energy is -33.99 eV for the cell shown. The value obtained for the volume is 150 Å³/f.u. Its space-group type is I4/m (87).

abc: 6.047 6.047 6.047
angles: 99.41 99.41 132.31
Element x y z (fractional)
1 Y 0.103 0.293 0.396
2 Y 0.293 0.897 0.189
3 Y 0.707 0.103 0.811
4 Y 0.897 0.707 0.604
5 Zr 0.500 0.500 0.000

---

# 11
A relaxed structure of YZr. Source: Alexandria, functional PBE.

Calculated values
The total energy is -58.36 eV for the cell shown. The value obtained for the volume is 58 Å³/f.u. Its space-group type is P6_3/mmc (194).

abc: 5.039 5.039 10.498
angles: 90.00 90.00 120.00
Element x y z (fractional)
1 Y 0.333 0.667 0.090
2 Y 0.333 0.667 0.410
3 Y 0.667 0.333 0.590
4 Y 0.667 0.333 0.910
5 Zr 0.000 0.000 0.250
6 Zr 0.000 0.000 0.750
7 Zr 0.333 0.667 0.750
8 Zr 0.667 0.333 0.250

---

# 12
A relaxed structure of YZr2. Source: Alexandria, functional PBE.

Calculated values
The total energy is -46.42 eV for the cell shown. The value obtained for the volume is 77 Å³/f.u. Its space-group type is Cmcm (63).

abc: 7.443 7.443 4.692
angles: 90.00 90.00 143.65
Element x y z (fractional)
1 Y 0.086 0.914 0.750
2 Y 0.914 0.086 0.250
3 Zr 0.248 0.752 0.250
4 Zr 0.405 0.595 0.750
5 Zr 0.595 0.405 0.250
6 Zr 0.752 0.248 0.750

---

# 13
A relaxed structure of YZr. Source: Alexandria, functional PBE.

Calculated values
The total energy is -23.67 eV for the cell shown. The value obtained for the volume is 76 Å³/f.u. Its space-group type is P6_3/mmc (194).

abc: 5.479 5.479 5.846
angles: 90.00 90.00 120.00
Element x y z (fractional)
1 Y 0.333 0.667 0.250
2 Y 0.667 0.333 0.750
3 Zr 0.333 0.667 0.750
4 Zr 0.667 0.333 0.250

---

# 14
A relaxed structure of YZr8. Source: Alexandria, functional PBE.

Calculated values
The total energy is -74.15 eV for the cell shown. The value obtained for the volume is 216 Å³/f.u. Its space-group type is I4/mmm (139).

abc: 7.235 7.235 7.235
angles: 95.76 95.76 143.06
Element x y z (fractional)
1 Y 0.000 0.000 0.000
2 Zr 0.000 0.337 0.337
3 Zr 0.000 0.663 0.663
4 Zr 0.329 0.329 0.658
5 Zr 0.329 0.671 0.000
6 Zr 0.337 0.000 0.337
7 Zr 0.663 0.000 0.663
8 Zr 0.671 0.329 0.000
9 Zr 0.671 0.671 0.342

---

# 15
A relaxed structure of Y7Zr. Source: Alexandria, functional PBE.

Calculated values
The total energy is -53.20 eV for the cell shown. The value obtained for the volume is 245 Å³/f.u. Its space-group type is Fm-3m (225).

abc: 7.027 7.027 7.027
angles: 60.00 60.00 60.00
Element x y z (fractional)
1 Y 0.000 0.000 0.000
2 Y 0.000 0.000 0.500
3 Y 0.000 0.500 0.000
4 Y 0.000 0.500 0.500
5 Y 0.500 0.000 0.000
6 Y 0.500 0.000 0.500
7 Y 0.500 0.500 0.000
8 Zr 0.500 0.500 0.500

---

# 16
A relaxed structure of YZr. Source: Alexandria, functional PBE.

Calculated values
The total energy is -114.07 eV for the cell shown. The value obtained for the volume is 56 Å³/f.u. Its space-group type is P4/m (83).

abc: 11.799 11.799 3.234
angles: 90.00 90.00 90.00
Element x y z (fractional)
1 Y 0.080 0.361 0.000
2 Y 0.328 0.410 0.500
3 Y 0.361 0.920 0.000
4 Y 0.410 0.672 0.500
5 Y 0.590 0.328 0.500
6 Y 0.639 0.080 0.000
7 Y 0.672 0.590 0.500
8 Y 0.920 0.639 0.000
9 Zr 0.099 0.834 0.000
10 Zr 0.157 0.608 0.500
11 Zr 0.166 0.099 0.000
12 Zr 0.392 0.157 0.500
13 Zr 0.608 0.843 0.500
14 Zr 0.834 0.901 0.000
15 Zr 0.843 0.392 0.500
16 Zr 0.901 0.166 0.000

---

# 17
A relaxed structure of Y3Zr5. Source: Alexandria, functional PBE.

Calculated values
The total energy is -61.05 eV for the cell shown. The value obtained for the volume is 207 Å³/f.u. Its space-group type is Cmmm (65).

abc: 6.674 6.674 4.656
angles: 90.00 90.00 90.73
Element x y z (fractional)
1 Y 0.000 0.000 0.000
2 Y 0.255 0.255 0.500
3 Y 0.745 0.745 0.500
4 Zr 0.000 0.500 0.000
5 Zr 0.260 0.740 0.500
6 Zr 0.500 0.000 0.000
7 Zr 0.500 0.500 0.000
8 Zr 0.740 0.260 0.500

---

# 18
A relaxed structure of YZr. Source: Alexandria, functional PBE.

Calculated values
The total energy is -29.69 eV for the cell shown. The value obtained for the volume is 55 Å³/f.u. Its space-group type is P-3m1 (164).

abc: 3.410 3.410 10.872
angles: 90.00 90.00 120.00
Element x y z (fractional)
1 Y 0.333 0.667 0.360
2 Y 0.667 0.333 0.640
3 Zr 0.333 0.667 0.887
4 Zr 0.667 0.333 0.113

---

# 19
A relaxed structure of Y5Zr. Source: Alexandria, functional PBE.

Calculated values
The total energy is -40.56 eV for the cell shown. The value obtained for the volume is 184 Å³/f.u. Its space-group type is Amm2 (38).

abc: 5.580 9.463 9.463
angles: 21.66 90.00 90.00
Element x y z (fractional)
1 Y 0.000 0.000 0.000
2 Y 0.000 0.319 0.319
3 Y 0.500 0.108 0.108
4 Y 0.500 0.435 0.435
5 Y 0.500 0.766 0.766
6 Zr 0.000 0.659 0.659

---

# 20
A relaxed structure of YZr. Source: Alexandria, functional PBE.

Calculated values
The total energy is -56.39 eV for the cell shown. The value obtained for the volume is 57 Å³/f.u. Its space-group type is Fddd (70).

abc: 7.463 7.246 6.196
angles: 66.92 63.28 49.80
Element x y z (fractional)
1 Y 0.049 0.701 0.049
2 Y 0.299 0.951 0.299
3 Y 0.701 0.049 0.701
4 Y 0.951 0.299 0.951
5 Zr 0.217 0.533 0.533
6 Zr 0.467 0.783 0.783
7 Zr 0.533 0.217 0.217
8 Zr 0.783 0.467 0.467

---

# 21
A relaxed structure of YZr. Source: Alexandria, functional PBE.

Calculated values
The total energy is -29.58 eV for the cell shown. The value obtained for the volume is 54 Å³/f.u. Its space-group type is R-3m (166).

abc: 11.232 11.232 11.232
angles: 17.24 17.24 17.24
Element x y z (fractional)
1 Y 0.119 0.119 0.119
2 Y 0.881 0.881 0.881
3 Zr 0.371 0.371 0.371
4 Zr 0.629 0.629 0.629

---

# 22
A relaxed structure of Y5Zr. Source: Alexandria, functional PBE.

Calculated values
The total energy is -38.40 eV for the cell shown. The value obtained for the volume is 191 Å³/f.u. Its space-group type is F-43m (216).

abc: 6.466 6.466 6.466
angles: 60.00 60.00 60.00
Element x y z (fractional)
1 Y 0.000 0.000 0.000
2 Y 0.126 0.625 0.625
3 Y 0.625 0.126 0.625
4 Y 0.625 0.625 0.126
5 Y 0.625 0.625 0.625
6 Zr 0.250 0.250 0.250

---

# 23
A relaxed structure of YZr7. Source: Alexandria, functional PBE.

Calculated values
The total energy is -65.59 eV for the cell shown. The value obtained for the volume is 192 Å³/f.u. Its space-group type is Fm-3m (225).

abc: 6.477 6.477 6.477
angles: 60.00 60.00 60.00
Element x y z (fractional)
1 Y 0.000 0.000 0.000
2 Zr 0.000 0.000 0.500
3 Zr 0.000 0.500 0.000
4 Zr 0.000 0.500 0.500
5 Zr 0.500 0.000 0.000
6 Zr 0.500 0.000 0.500
7 Zr 0.500 0.500 0.000
8 Zr 0.500 0.500 0.500

---

# 24
A relaxed structure of YZr. Source: Alexandria, functional PBE.

Calculated values
The total energy is -29.10 eV for the cell shown. The value obtained for the volume is 54 Å³/f.u. Its space-group type is Fd-3m (227).

abc: 5.338 5.338 5.338
angles: 60.00 60.00 60.00
Element x y z (fractional)
1 Y 0.125 0.125 0.125
2 Y 0.875 0.875 0.875
3 Zr 0.375 0.375 0.375
4 Zr 0.625 0.625 0.625

---

# 25
A relaxed structure of YZr. Source: Alexandria, functional PBE.

Calculated values
The total energy is -29.65 eV for the cell shown. The value obtained for the volume is 54 Å³/f.u. Its space-group type is P4/nmm (129).

abc: 3.345 3.345 9.708
angles: 90.00 90.00 90.00
Element x y z (fractional)
1 Y 0.250 0.250 0.145
2 Y 0.750 0.750 0.855
3 Zr 0.250 0.250 0.610
4 Zr 0.750 0.750 0.390